ZrCoHgBi after structural relaxation, computed with PBE-GGA.

```
data_ZrCoHgBi
_cell_length_a 6.9507
_cell_length_b 6.9507
_cell_length_c 6.9507
_cell_angle_alpha 90.00
_cell_angle_beta 90.00
_cell_angle_gamma 90.00
_symmetry_space_group_name_H-M 'F -4 3 m'
_symmetry_Int_Tables_number 216
_symmetry_space_group_name_Hall 'F -4 2 3'
loop_
_atom_site_label
_atom_site_type_symbol
_atom_site_fract_x
_atom_site_fract_y
_atom_site_fract_z
Zr1 Zr 0.0000 0.0000 0.0000
Co1 Co 0.2500 0.2500 0.7500
Hg1 Hg 0.2500 0.2500 0.2500
Bi1 Bi 0.0000 0.0000 0.5000
```

Results
Electronic total energy   -0.3504 Ry per atom
Excess energy over the best structure of this formula in the dataset   0.0000 eV/atom